# PBE Ce2SnSb3, optimized geometry
# DOS(E_F) = 0.90 states/eV per atom
# E_form (uncorrected) = -746 meV/atom
# Size of the total moment = 0.00 μB/cell
# Energy above the lowest structure with this stoichiometry = 0 meV per atom
data_Ce2SnSb3
_symmetry_space_group_name_H-M 'P -4 m 2'
_symmetry_Int_Tables_number 115
_cell_length_a 4.4163
_cell_length_b 4.4163
_cell_length_c 8.7149
_cell_angle_alpha 90.00
_cell_angle_beta 90.00
_cell_angle_gamma 90.00
loop_
_symmetry_equiv_pos_as_xyz
'x,y,z'
'y,-x,-z'
'-x,-y,z'
'-y,x,-z'
'-x,y,z'
'-y,-x,-z'
'x,-y,z'
'y,x,-z'
loop_
_atom_site_label
_atom_site_fract_x
_atom_site_fract_y
_atom_site_fract_z
Ce1 0.0000 0.5000 0.2082
Sn1 0.0000 0.0000 0.5000
Sb1 0.0000 0.5000 0.8432
Sb2 0.5000 0.5000 0.5000